1.
An optimized crystal structure of Li8Sb5As, computed with PBE.

* crystal system: triclinic
* uncorrected formation energy: -556.5 kJ/mol of formula units

```
data_Li8Sb5As
_cell_length_a 5.990
_cell_length_b 7.062
_cell_length_c 8.160
_cell_angle_alpha 68.04
_cell_angle_beta 73.10
_cell_angle_gamma 78.32
_symmetry_space_group_name_H-M 'P 1'
_symmetry_Int_Tables_number 1
_symmetry_space_group_name_Hall 'P 1'
loop_
_atom_site_label
_atom_site_type_symbol
_atom_site_fract_x
_atom_site_fract_y
_atom_site_fract_z
Li1 Li 0.000 0.000 0.000
Li2 Li 0.030 0.619 0.556
Li3 Li 0.067 0.547 0.942
Li4 Li 0.389 0.087 0.090
Li5 Li 0.454 0.253 0.388
Li6 Li 0.517 0.663 0.510
Li7 Li 0.611 0.896 0.762
Li8 Li 0.818 0.283 0.613
Sb1 Sb 0.146 0.941 0.635
Sb2 Sb 0.329 0.282 0.744
Sb3 Sb 0.374 0.667 0.174
Sb4 Sb 0.617 0.449 0.912
Sb5 Sb 0.950 0.158 0.311
As1 As 0.914 0.572 0.271
```

---

2.
An optimized crystal structure of Fe2AsW, computed with PBE.

* energy of formation: 0.1942 eV per atom
* crystal system: monoclinic

```
data_Fe2AsW
_cell_length_a 2.825
_cell_length_b 3.817
_cell_length_c 5.193
_cell_angle_alpha 90.00
_cell_angle_beta 105.64
_cell_angle_gamma 90.00
_symmetry_space_group_name_H-M 'P 1 m 1'
_symmetry_Int_Tables_number 6
_symmetry_space_group_name_Hall 'P -2y'
loop_
_atom_site_label
_atom_site_type_symbol
_atom_site_fract_x
_atom_site_fract_y
_atom_site_fract_z
Fe1 Fe 0.000 0.000 0.000
Fe2 Fe 0.390 0.500 0.782
As1 As 0.260 0.000 0.520
W1 W 0.635 0.500 0.271
```

---

3.
An optimized crystal structure of Ga2AgPd, computed with PBE.

* energy of formation: -0.2303 eV per atom
* crystal system: cubic
* relative energy among the computed polymorphs: 22 meV/atom

```
data_Ga2AgPd
_cell_length_a 6.368
_cell_length_b 6.368
_cell_length_c 6.368
_cell_angle_alpha 90.00
_cell_angle_beta 90.00
_cell_angle_gamma 90.00
_symmetry_space_group_name_H-M 'F m -3 m'
_symmetry_Int_Tables_number 225
_symmetry_space_group_name_Hall '-F 4 2 3'
loop_
_atom_site_label
_atom_site_type_symbol
_atom_site_fract_x
_atom_site_fract_y
_atom_site_fract_z
Ga1 Ga 0.250 0.250 0.250
Ag1 Ag 0.000 0.000 0.000
Pd1 Pd 0.000 0.000 0.500
```

---

4.
An optimized crystal structure of U2AsC2, computed with PBE.

* energy of formation: -0.2331 eV per atom
* crystal system: tetragonal

```
data_U2AsC2
_cell_length_a 3.785
_cell_length_b 3.785
_cell_length_c 11.735
_cell_angle_alpha 90.00
_cell_angle_beta 90.00
_cell_angle_gamma 90.00
_symmetry_space_group_name_H-M 'I 4/m m m'
_symmetry_Int_Tables_number 139
_symmetry_space_group_name_Hall '-I 4 2'
loop_
_atom_site_label
_atom_site_type_symbol
_atom_site_fract_x
_atom_site_fract_y
_atom_site_fract_z
U1 U 0.000 0.000 0.146
As1 As 0.000 0.000 0.500
C1 C 0.000 0.500 0.250
```

---

Number 1: E_tot -46.34 eV for the cell shown. Number 2: E_tot -33.75 eV for the cell shown. Number 3: E_tot -60.08 eV for the cell shown. Number 4: E_tot -93.68 eV for the cell shown.